The following is a DFT calculation (GGA-PBE) of crystalline Cd2RuAu at its relaxed geometry.

Calculated values
D(E_F)	0.668	states/eV per atom
calculated formation energy	0.99	eV/f.u.
DFT total energy	-3.35	eV/atom
SG	F-43m (216)
M_tot	0.000	μB/cell
theoretical density	12.06	Mg/m³
offset from the most stable computed form	0.55	eV/f.u.

Unit cell a=4.670 b=4.670 c=4.670 alpha=60.00 beta=60.00 gamma=60.00
Atoms (fractional coordinates):
Cd (0.000, 0.000, 0.000)
Cd (0.250, 0.250, 0.250)
Ru (0.500, 0.500, 0.500)
Au (0.750, 0.750, 0.750)